Below is crystalline Dy5YTm6 at its relaxed geometry, with properties calculated at the PBE level.

Lattice parameters (Å, degrees): 6.0964 6.0909 11.6433 85.00 79.98 59.97
With the nearest neighbours (Å) after each atom.
Fractional coordinates of all 12 atoms:
1 Dy 0.6666 0.6667 0.0000  6 Tm 3.51-3.52, 3 Dy 3.52, 3 Y 3.52
2 Tm 0.0830 0.3340 0.7496  5 Dy 3.51-3.52, 6 Tm 3.51-3.53, 1 Y 3.52
3 Dy 0.5000 0.0000 0.5000  6 Tm 3.50-3.51, 6 Dy 3.52
4 Tm 0.2510 0.0000 0.2504  5 Dy 3.50-3.52, 6 Tm 3.51-3.53, 1 Y 3.52
5 Y 0.0000 0.0000 0.0000  6 Dy 3.52, 6 Tm 3.52
6 Tm 0.9170 0.6660 0.2504  5 Dy 3.51-3.52, 6 Tm 3.51-3.53, 1 Y 3.52
7 Tm 0.4169 0.6660 0.7496  5 Dy 3.51-3.52, 6 Tm 3.51-3.53, 1 Y 3.52
8 Tm 0.7490 0.0000 0.7496  5 Dy 3.50-3.52, 6 Tm 3.51-3.53, 1 Y 3.52
9 Tm 0.5831 0.3340 0.2504  5 Dy 3.51-3.52, 6 Tm 3.51-3.53, 1 Y 3.52
10 Dy 0.3334 0.3333 0.0000  6 Tm 3.51-3.52, 3 Dy 3.52, 3 Y 3.52
11 Dy 0.1666 0.6668 0.5000  6 Tm 3.51, 6 Dy 3.51-3.52
12 Dy 0.8334 0.3332 0.5000  6 Tm 3.51, 6 Dy 3.51-3.52

Values from the calculation:
For the calculated total energy, the calculation gives -4.67 eV/atom. Its formation energy from the elements is 2 kJ per mole of atoms.